--- w ---
VASP calculation (PBE) on a relaxed structure of Ga2PdI4Br4.

It has space group C2/m (No. 12), with a = 13.597 Å, b = 8.905 Å, c = 7.725 Å, α = 90.00°, β = 98.10° and γ = 90.00°. The inequivalent atoms are Ga at (0.209, 0.000, 0.328), Pd at (0.000, 0.000, 0.000), I at (0.112, 0.500, 0.716), I at (0.170, 0.000, 0.637) and Br at (0.112, 0.194, 0.147).

The calculated volume is 42.087 A^3/atom.

--- x ---
VASP calculation (PBE) on a relaxed structure of Ga2PdI4Br4.

It has space group C2/m (No. 12), with a = 13.534 Å, b = 8.749 Å, c = 7.722 Å, α = 90.00°, β = 94.99° and γ = 90.00°. The inequivalent atoms are Ga at (0.216, 0.000, 0.339), Pd at (0.000, 0.000, 0.000), I at (0.116, 0.213, 0.152), Br at (0.116, 0.500, 0.696) and Br at (0.176, 0.000, 0.627).

The calculated volume is 41.402 A^3/atom.

Relative energy table, unit kJ/mol of atoms: w 5.6; x 0.0

--- w ---
VASP calculation (PBE) on a relaxed structure of PrGdBrN.

It has space group P-3m1 (No. 164), with a = 3.6725 Å, b = 3.6725 Å, c = 14.4862 Å, α = 90.00°, β = 90.00° and γ = 120.00°. The inequivalent atoms are Pr at (0.3333, 0.6667, 0.4057), Gd at (0.3333, 0.6667, 0.0860), Br at (0.3333, 0.6667, 0.7618), N at (0.0000, 0.0000, 0.0000) and N at (0.0000, 0.0000, 0.5000).

The calculated volume is 21.150 A^3/atom.

--- x ---
VASP calculation (PBE) on a relaxed structure of PrGdBrN.

It has space group P-6m2 (No. 187), with a = 3.6762 Å, b = 3.6762 Å, c = 14.5138 Å, α = 90.00°, β = 90.00° and γ = 120.00°. The inequivalent atoms are Pr at (0.0000, 0.0000, 0.1613), Gd at (0.6667, 0.3333, 0.3417), Br at (0.0000, 0.0000, 0.5000), Br at (0.6667, 0.3333, 0.0000) and N at (0.3333, 0.6667, 0.2677).

The calculated volume is 21.233 A^3/atom.

Relative energy table, unit kJ/mol of atoms: w 1.5; x 0.0

--- w ---
VASP calculation (PBE) on a relaxed structure of Hf2Br.

It has space group Fd-3m (No. 227, origin choice 2), with a = 8.421 Å, b = 8.421 Å, c = 8.421 Å, α = 90.00°, β = 90.00° and γ = 90.00°. The inequivalent atoms are Hf at (0.000, 0.000, 0.000) and Br at (0.125, 0.125, 0.625).

The calculated volume is 24.878 A^3/atom.

--- x ---
VASP calculation (PBE) on a relaxed structure of Hf2Br.

It has space group Fd-3m (No. 227, origin choice 2), with a = 11.518 Å, b = 11.518 Å, c = 11.518 Å, α = 90.00°, β = 90.00° and γ = 90.00°. The inequivalent atoms are Hf at (0.000, 0.000, 0.000) and Br at (0.125, 0.125, 0.125).

The calculated volume is 63.664 A^3/atom.

Relative energy table, unit kJ/mol of atoms: w 0.0; x 173.4

--- w ---
VASP calculation (PBE) on a relaxed structure of HfIn2Br6.

It has space group P2_1/c (No. 14), with a = 7.389 Å, b = 8.440 Å, c = 12.459 Å, α = 90.00°, β = 124.97° and γ = 90.00°. The inequivalent atoms are Hf at (0.000, 0.000, 0.000), In at (0.275, 0.103, 0.759), Br at (0.159, 0.023, 0.250), Br at (0.219, 0.735, 0.048) and Br at (0.338, 0.165, 0.042).

The calculated volume is 35.373 A^3/atom.

--- x ---
VASP calculation (PBE) on a relaxed structure of HfIn2Br6.

It has space group I4/mmm (No. 139), with a = 7.450 Å, b = 7.450 Å, c = 10.552 Å, α = 90.00°, β = 90.00° and γ = 90.00°. The inequivalent atoms are Hf at (0.000, 0.000, 0.000), In at (0.000, 0.500, 0.250), Br at (0.000, 0.000, 0.247) and Br at (0.248, 0.248, 0.000).

The calculated volume is 32.538 A^3/atom.

Relative energy table, unit kJ/mol of atoms: w 0.0; x 3.4

--- w ---
VASP calculation (PBE) on a relaxed structure of HgBr.

It has space group I4/mmm (No. 139), with a = 4.771 Å, b = 4.771 Å, c = 11.322 Å, α = 90.00°, β = 90.00° and γ = 90.00°. The inequivalent atoms are Hg at (0.000, 0.000, 0.116) and Br at (0.000, 0.000, 0.345).

The calculated volume is 32.211 A^3/atom.

--- x ---
VASP calculation (PBE) on a relaxed structure of HgBr.

It has space group P-6m2 (No. 187), with a = 3.8523 Å, b = 3.8523 Å, c = 4.2292 Å, α = 90.00°, β = 90.00° and γ = 120.00°. The inequivalent atoms are Hg at (0.0000, 0.0000, 0.0000) and Br at (0.3333, 0.6667, 0.5000).

The calculated volume is 27.177 A^3/atom.

--- y ---
VASP calculation (PBE) on a relaxed structure of HgBr.

It has space group F-43m (No. 216), with a = 6.752 Å, b = 6.752 Å, c = 6.752 Å, α = 90.00°, β = 90.00° and γ = 90.00°. The inequivalent atoms are Hg at (0.000, 0.000, 0.000) and Br at (0.250, 0.250, 0.250).

The calculated volume is 38.479 A^3/atom.

--- z ---
VASP calculation (PBE) on a relaxed structure of HgBr.

It has space group Fm-3m (No. 225), with a = 6.157 Å, b = 6.157 Å, c = 6.157 Å, α = 90.00°, β = 90.00° and γ = 90.00°. The inequivalent atoms are Hg at (0.000, 0.000, 0.000) and Br at (0.000, 0.000, 0.500).

The calculated volume is 29.182 A^3/atom.

Relative energy table, unit kJ/mol of atoms: w 0.0; x 33.3; y 31.0; z 24.9